Pm3Ni, relaxed, DFT PBE; space group = P6_3/mmc; spin magnetization = 0.11 Bohr magnetons per cell; calculated density = 7703 kg/m³
1.0
7.3104 0.0000 0.0000
-3.6552 6.3310 0.0000
0.0000 0.0000 4.5990
Pm Ni
6 2
direct
0.1843 0.3687 0.2500
0.1843 0.8157 0.2500
0.3687 0.1843 0.7500
0.6313 0.8157 0.2500
0.8157 0.1843 0.7500
0.8157 0.6313 0.7500
0.3333 0.6667 0.7500
0.6667 0.3333 0.2500

---

Pm3Ni, relaxed, DFT PBE; space group = Pm-3m; spin magnetization = 0.02 Bohr magnetons per cell; calculated density = 7537 kg/m³
1.0
4.7734 0.0000 0.0000
0.0000 4.7734 0.0000
0.0000 0.0000 4.7734
Pm Ni
3 1
direct
0.0000 0.0000 0.5000
0.0000 0.5000 0.0000
0.5000 0.0000 0.0000
0.5000 0.5000 0.5000

---

Pm5Ni2, relaxed, DFT PBE; space group = C2/c; spin magnetization = 0.01 Bohr magnetons per cell; calculated density = 7392 kg/m³
1.0
8.4439 -3.2341 0.0000
8.4439 3.2341 0.0000
-0.8034 0.0000 6.9294
Pm Ni
10 4
direct
0.0672 0.9328 0.7500
0.1453 0.2843 0.3142
0.2843 0.1453 0.8142
0.2996 0.5090 0.0764
0.4910 0.7004 0.4236
0.5090 0.2996 0.5764
0.7004 0.4910 0.9236
0.7157 0.8547 0.1858
0.8547 0.7157 0.6858
0.9328 0.0672 0.2500
0.0871 0.6945 0.4288
0.3055 0.9129 0.0712
0.6945 0.0871 0.9288
0.9129 0.3055 0.5712

---

PmNi, relaxed, DFT PBE; space group = P6_3mc; spin magnetization = 0.00 Bohr magnetons per cell; calculated density = 6223 kg/m³
1.0
4.7219 0.0000 0.0000
-2.3610 4.0893 0.0000
0.0000 0.0000 5.6301
Pm Ni
2 2
direct
0.3333 0.6667 0.0000
0.6667 0.3333 0.5000
0.3333 0.6667 0.5009
0.6667 0.3333 0.0009

---

Pm2Ni, relaxed, DFT PBE; space group = Fd-3m; spin magnetization = 0.01 Bohr magnetons per cell; calculated density = 7197 kg/m³
1.0
0.0000 4.3170 4.3170
4.3170 0.0000 4.3170
4.3170 4.3170 0.0000
Pm Ni
4 2
direct
0.0000 0.0000 0.0000
0.0000 0.0000 0.5000
0.0000 0.5000 0.0000
0.5000 0.0000 0.0000
0.3750 0.3750 0.3750
0.6250 0.6250 0.6250

---

PmNi2, relaxed, DFT PBE; space group = Fd-3m; spin magnetization = 2.02 Bohr magnetons per cell; calculated density = 2000 kg/m³
1.0
0.0000 6.0175 6.0175
6.0175 0.0000 6.0175
6.0175 6.0175 0.0000
Pm Ni
2 4
direct
0.1250 0.1250 0.1250
0.8750 0.8750 0.8750
0.0000 0.0000 0.0000
0.0000 0.0000 0.5000
0.0000 0.5000 0.0000
0.5000 0.0000 0.0000

---

Pm2Ni, relaxed, DFT PBE; space group = Fd-3m; spin magnetization = 1.16 Bohr magnetons per cell; calculated density = 2863 kg/m³
1.0
0.0000 5.8699 5.8699
5.8699 0.0000 5.8699
5.8699 5.8699 0.0000
Pm Ni
4 2
direct
0.0000 0.0000 0.0000
0.0000 0.0000 0.5000
0.0000 0.5000 0.0000
0.5000 0.0000 0.0000
0.1250 0.1250 0.1250
0.8750 0.8750 0.8750

---

PmNi2, relaxed, DFT PBE; space group = P4_2/mnm; spin magnetization = 0.00 Bohr magnetons per cell; calculated density = 6914 kg/m³
1.0
5.0288 0.0000 0.0000
0.0000 5.0288 0.0000
0.0000 0.0000 4.9834
Pm Ni
2 4
direct
0.0000 0.0000 0.0000
0.5000 0.5000 0.5000
0.1563 0.1563 0.5000
0.3437 0.6563 0.0000
0.6563 0.3437 0.0000
0.8437 0.8437 0.5000

---

no.,formation energy (eV per formula unit),electronic total energy (eV/atom),calculated volume (Å³/cell)
1,0.407,-4.85,212.9
2,0.696,-4.78,108.8
3,-1.471,-5.19,378.5
4,0.264,-5.02,108.7
5,2.699,-4.12,160.9
6,5.847,-3.34,435.8
7,3.220,-3.95,404.5
8,1.975,-4.64,126.0